[1]
VASP calculation (PBE-GGA) on La2ScH after structural relaxation.

The structure belongs to space group Fm-3m (No. 225); the cell edges are 7.4886, 7.4886 and 7.4886 Å and the angles 90.00°, 90.00° and 90.00°. Symmetry generates all atoms from La at (0.2500, 0.2500, 0.2500), Sc at (0.0000, 0.0000, 0.0000) and H at (0.0000, 0.0000, 0.5000).

For the total magnetization, the calculation gives 0.00 μB/atom. The value obtained for the final energy is -4.333 eV per atom.

---

[2]
VASP calculation (PBE-GGA) on OsW2 after structural relaxation.

The structure belongs to space group P6_3/mmc (No. 194); the cell edges are 4.5118, 4.5118 and 5.3954 Å and the angles 90.00°, 90.00° and 120.00°. Symmetry generates all atoms from Os at (0.3333, 0.6667, 0.2500), W at (0.0000, 0.0000, 0.0000) and W at (0.3333, 0.6667, 0.7500).

For the total magnetization, the calculation gives 0.00 μB/atom. The value obtained for the final energy is -12.083 eV per atom. The formation energy is 0.2953 eV/atom.

---

[3]
VASP calculation (PBE-GGA) on Hf2Ti3In2 after structural relaxation.

The structure belongs to space group Cmmm (No. 65); the cell edges are 4.8646, 19.5908 and 2.9402 Å and the angles 90.00°, 90.00° and 90.00°. Symmetry generates all atoms from Hf at (0.0000, 0.0733, 0.0000), Ti at (0.0000, 0.2159, 0.0000), Ti at (0.0000, 0.5000, 0.0000) and In at (0.0000, 0.3538, 0.5000).

For the total magnetization, the calculation gives 0.37 μB/atom. The value obtained for the final energy is -6.896 eV per atom. The formation energy is 0.1136 eV/atom.

---

[4]
VASP calculation (PBE-GGA) on DyY3Pd2 after structural relaxation.

The structure belongs to space group Pmc2_1 (No. 26); the cell edges are 4.9094, 8.7997 and 7.1132 Å and the angles 90.00°, 90.00° and 90.00°. Symmetry generates all atoms from Dy at (0.0000, 0.0804, 0.0000), Y at (0.0000, 0.3315, 0.6284), Y at (0.5000, 0.1675, 0.3405), Y at (0.5000, 0.4212, 0.9691), Pd at (0.0000, 0.3433, 0.2233) and Pd at (0.5000, 0.1557, 0.7452).

For the total magnetization, the calculation gives 0.00 μB/atom. The value obtained for the final energy is -6.346 eV per atom. The formation energy is -0.6164 eV/atom.

---

[5]
VASP calculation (PBE-GGA) on SmY2Sb after structural relaxation.

The structure belongs to space group P4/mmm (No. 123); the cell edges are 3.9871, 3.9871 and 7.4169 Å and the angles 90.00°, 90.00° and 90.00°. Symmetry generates all atoms from Sm at (0.0000, 0.0000, 0.0000), Y at (0.5000, 0.5000, 0.2806) and Sb at (0.0000, 0.0000, 0.5000).

For the total magnetization, the calculation gives 0.00 μB/atom. The energy relative to the elements, uncorrected is -489 meV per atom. The value obtained for the final energy is -5.932 eV per atom.

---

[6]
VASP calculation (PBE-GGA) on USb3Se6 after structural relaxation.

The structure belongs to space group P2_1/m (No. 11); the cell edges are 11.9127, 4.0006 and 12.3636 Å and the angles 90.00°, 101.63° and 90.00°. Symmetry generates all atoms from U at (0.1802, 0.2500, 0.0289), Sb at (0.0301, 0.7500, 0.3076), Sb at (0.3495, 0.2500, 0.4155), Sb at (0.4131, 0.7500, 0.8412), Se at (0.0423, 0.7500, 0.8914), Se at (0.1219, 0.2500, 0.4515), Se at (0.2150, 0.7500, 0.2160), Se at (0.2576, 0.2500, 0.8002), Se at (0.3757, 0.7500, 0.0472) and Se at (0.3908, 0.7500, 0.5661).

For the total magnetization, the calculation gives 0.27 μB/atom. The energy relative to the elements, uncorrected is -477 meV per atom. The value obtained for the final energy is -4.934 eV per atom.

---

[7]
VASP calculation (PBE-GGA) on Ni2OsCl after structural relaxation.

The structure belongs to space group P4/mmm (No. 123); the cell edges are 2.7725, 2.7725 and 7.0498 Å and the angles 90.00°, 90.00° and 90.00°. Symmetry generates all atoms from Ni at (0.0000, 0.0000, 0.2378), Os at (0.5000, 0.5000, 0.0000) and Cl at (0.5000, 0.5000, 0.5000).

For the total magnetization, the calculation gives 0.00 μB/atom. The energy relative to the elements, uncorrected is 383 meV per atom. The value obtained for the final energy is -5.777 eV per atom.

---

[8]
VASP calculation (PBE-GGA) on Nd2Zn2NiPd5 after structural relaxation.

The structure belongs to space group P4/mbm (No. 127); the cell edges are 9.6694, 9.6694 and 3.8351 Å and the angles 90.00°, 90.00° and 90.00°. Symmetry generates all atoms from Nd at (0.1805, 0.3195, 0.0000), Zn at (0.1183, 0.6183, 0.0000), Ni at (0.0000, 0.0000, 0.0000), Pd at (0.0000, 0.5000, 0.5000) and Pd at (0.0617, 0.7996, 0.5000).

For the total magnetization, the calculation gives 0.00 μB/atom. The value obtained for the final energy is -4.896 eV per atom. The formation energy is -0.5130 eV/atom.